First-principles (PBE) data for a geometry-optimized Tm5GaCo structure, as listed in Alexandria via LeMat-Bulk.

Lattice parameters (Å, degrees): 6.2405 6.2405 10.9097 106.61 106.61 63.73
Closest atoms and distances in Å follow each position.
Fractional positions:
Tm1 0.0050 0.9950 0.7500  2 Co 2.73
Tm2 0.0543 0.4005 0.6400  1 Co 2.64
Tm3 0.2114 0.5506 0.9584  1 Co 2.48
Tm4 0.4005 0.0543 0.1400  1 Co 2.64
Tm5 0.4494 0.7886 0.5416  1 Co 2.48
Tm6 0.5506 0.2114 0.4584  1 Co 2.48
Tm7 0.5995 0.9457 0.8600  1 Co 2.64
Tm8 0.7886 0.4494 0.0416  1 Co 2.48
Tm9 0.9457 0.5995 0.3600  1 Co 2.64
Tm10 0.9950 0.0050 0.2500  2 Co 2.73
Ga1 0.4696 0.5304 0.2500  7 Tm 3.04-3.23
Ga2 0.5304 0.4696 0.7500  7 Tm 3.04-3.23
Co1 0.0000 0.0000 0.0000  6 Tm 2.48-2.73
Co2 0.0000 0.0000 0.5000  6 Tm 2.48-2.73

Summary:
**Symmetry**: C2/c (15)
**Total magnetic moment**: 0.00 μB per formula unit
**Electronic total energy**: -66.45 eV/cell
**Energy relative to the elements**: -105.0 meV per atom
**Mass density**: 9.0 g cm⁻³

=====

First-principles (PBE) data for a geometry-optimized Tm2GaCo3 structure, as listed in Alexandria via LeMat-Bulk.

Lattice parameters (Å, degrees): 5.1861 5.1861 8.0053 90.00 90.00 120.00
Closest atoms and distances in Å follow each position.
Fractional positions:
Tm1 0.3333 0.6667 0.0647  9 Co 2.90-2.99, 4 Tm 2.97-3.17, 3 Ga 3.04
Tm2 0.3333 0.6667 0.4353  9 Co 2.90-2.99, 4 Tm 2.97-3.17, 3 Ga 3.04
Tm3 0.6667 0.3333 0.5647  9 Co 2.90-2.99, 4 Tm 2.97-3.17, 3 Ga 3.04
Tm4 0.6667 0.3333 0.9353  9 Co 2.90-2.99, 4 Tm 2.97-3.17, 3 Ga 3.04
Ga1 0.0000 0.0000 0.0000  6 Co 2.54
Ga2 0.0000 0.0000 0.5000  6 Co 2.54
Co1 0.1744 0.3488 0.7500  4 Co 2.47-2.71, 2 Ga 2.54
Co2 0.1744 0.8256 0.7500  4 Co 2.47-2.71, 2 Ga 2.54
Co3 0.3488 0.1744 0.2500  4 Co 2.47-2.71, 2 Ga 2.54
Co4 0.6512 0.8256 0.7500  4 Co 2.47-2.71, 2 Ga 2.54
Co5 0.8256 0.1744 0.2500  4 Co 2.47-2.71, 2 Ga 2.54
Co6 0.8256 0.6512 0.2500  4 Co 2.47-2.71, 2 Ga 2.54

Summary:
**Symmetry**: P6_3/mmc (194)
**Total magnetic moment**: 1.39 μB per formula unit
**Electronic total energy**: -71.03 eV/cell
**Energy relative to the elements**: -371.6 meV per atom
**Mass density**: 10.4 g cm⁻³

=====

First-principles (PBE) data for a geometry-optimized TmGa3Co3 structure, as listed in Alexandria via LeMat-Bulk.

Lattice parameters (Å, degrees): 6.3666 6.3666 6.3666 90.00 90.00 90.00
Closest atoms and distances in Å follow each position.
Fractional positions:
Tm1 0.0000 0.0000 0.0000  12 Co 3.56, 12 Ga 3.56
Tm2 0.5000 0.5000 0.5000  12 Co 3.56, 12 Ga 3.56
Ga1 0.0000 0.2500 0.5000  4 Co 2.25
Ga2 0.0000 0.7500 0.5000  4 Co 2.25
Ga3 0.2500 0.5000 0.0000  4 Co 2.25
Ga4 0.5000 0.0000 0.2500  4 Co 2.25
Ga5 0.5000 0.0000 0.7500  4 Co 2.25
Ga6 0.7500 0.5000 0.0000  4 Co 2.25
Co1 0.0000 0.5000 0.2500  4 Ga 2.25
Co2 0.0000 0.5000 0.7500  4 Ga 2.25
Co3 0.2500 0.0000 0.5000  4 Ga 2.25
Co4 0.5000 0.2500 0.0000  4 Ga 2.25
Co5 0.5000 0.7500 0.0000  4 Ga 2.25
Co6 0.7500 0.0000 0.5000  4 Ga 2.25

Summary:
**Symmetry**: Pm-3n (223)
**Total magnetic moment**: 0.00 μB per formula unit
**Electronic total energy**: -66.23 eV/cell
**Polymorph energy (0 for the lowest one)**: 0 meV/atom
**Energy relative to the elements**: 251.0 meV per atom
**Mass density**: 7.1 g cm⁻³